1.
Below is a relaxed structure of TlSb2C, with properties calculated at the PBEsol level.

Its raw total energy is -4.559 eV/atom. As for the formation energy from raw total energies: 0.788 eV/atom.

The space group is I-42d (No. 122) and the conventional cell measures 6.8156, 6.8156 and 8.1952 Å, with angles of 90.00, 90.00 and 90.00 degrees. Symmetry generates all atoms from Tl at (0.0000, 0.0000, 0.0000), Sb at (0.1498, 0.2500, 0.6250) and C at (0.0000, 0.0000, 0.5000).

=====

2.
Below is a relaxed structure of YSbC2, with properties calculated at the PBEsol level.

Its raw total energy is -7.166 eV/atom. As for the formation energy from raw total energies: 0.501 eV/atom.

The space group is I-42d (No. 122) and the conventional cell measures 5.8512, 5.8512 and 7.4932 Å, with angles of 90.00, 90.00 and 90.00 degrees. Symmetry generates all atoms from Y at (0.0000, 0.0000, 0.0000), Sb at (0.0000, 0.0000, 0.5000) and C at (0.2098, 0.2500, 0.6250).

=====

3.
Below is a relaxed structure of Y3SbC, with properties calculated at the PBEsol level.

Its raw total energy is -7.652 eV/atom. As for the formation energy from raw total energies: -0.718 eV/atom.

The space group is Pm-3m (No. 221) and the conventional cell measures 4.8141, 4.8141 and 4.8141 Å, with angles of 90.00, 90.00 and 90.00 degrees. Symmetry generates all atoms from Y at (0.0000, 0.0000, 0.5000), Sb at (0.5000, 0.5000, 0.5000) and C at (0.0000, 0.0000, 0.0000).

=====

4.
Below is a relaxed structure of Zn2SbC, with properties calculated at the PBEsol level.

Its raw total energy is -2.937 eV/atom. As for the formation energy from raw total energies: 1.404 eV/atom.

The space group is Fm-3m (No. 225) and the conventional cell measures 6.3336, 6.3336 and 6.3336 Å, with angles of 90.00, 90.00 and 90.00 degrees. Symmetry generates all atoms from Zn at (0.2500, 0.2500, 0.2500), Sb at (0.0000, 0.0000, 0.0000) and C at (0.0000, 0.0000, 0.5000).

=====

5.
Below is a relaxed structure of Zr3SbC, with properties calculated at the PBEsol level.

Its raw total energy is -8.849 eV/atom. As for the formation energy from raw total energies: -0.555 eV/atom.

The space group is Pm-3m (No. 221) and the conventional cell measures 4.5207, 4.5207 and 4.5207 Å, with angles of 90.00, 90.00 and 90.00 degrees. Symmetry generates all atoms from Zr at (0.0000, 0.0000, 0.5000), Sb at (0.5000, 0.5000, 0.5000) and C at (0.0000, 0.0000, 0.0000).

=====

6.
Below is a relaxed structure of Sc2C, with properties calculated at the PBEsol level.

The calculation puts the formation energy at -0.399 eV/atom. Its raw total energy is -8.017 eV/atom.

The space group is P-31m (No. 162) and the conventional cell measures 5.6222, 5.6222 and 5.3867 Å, with angles of 90.00, 90.00 and 120.00 degrees. Symmetry generates all atoms from Sc at (0.0000, 0.3324, 0.2406), C at (0.0000, 0.0000, 0.5000) and C at (0.3333, 0.6667, 0.0000).

=====

| no. | spin magnetization (μB/f.u.) |
| --- | --- |
| 1 | 0.0 |
| 2 | 0.0 |
| 3 | 0.0 |
| 4 | 0.0 |
| 5 | 0.0 |
| 6 | 0.0 |